# 1
Sc2SbPdSe | PBE | optimized geometry

Lattice parameters (Å, degrees): 5.405 5.405 4.838 90.00 90.00 90.00
Fractional positions:
Sc 0.000 0.500 0.000
Sc 0.500 0.000 0.000
Sb 0.000 0.000 0.000
Pd 0.000 0.000 0.500
Se 0.500 0.500 0.500

Summary:
- magnetic moment (μB/f.u.) = 0.754
- ΔE_f (raw) (meV per atom) = -86
- symmetry = P4/mmm (123)

---

# 2
Sr2ScSbPd6 | PBE | optimized geometry

Lattice parameters (Å, degrees): 6.737 6.776 6.938 61.47 61.65 61.79
Fractional positions:
Sr 0.207 0.204 0.209
Sr 0.793 0.796 0.791
Sc 0.500 0.500 0.500
Sb 0.000 0.000 0.000
Pd 0.165 0.327 0.617
Pd 0.333 0.625 0.163
Pd 0.374 0.832 0.674
Pd 0.626 0.168 0.326
Pd 0.667 0.375 0.837
Pd 0.835 0.673 0.383

Summary:
- magnetic moment (μB/f.u.) = 0.000
- ΔE_f (raw) (meV per atom) = -579
- symmetry = P-1 (2)

---

# 3
ScTcSbPd | PBE | optimized geometry

Lattice parameters (Å, degrees): 4.610 4.610 4.610 60.00 60.00 60.00
Fractional positions:
Sc 0.000 0.000 0.000
Tc 0.250 0.250 0.250
Sb 0.500 0.500 0.500
Pd 0.750 0.750 0.750

Summary:
- magnetic moment (μB/f.u.) = 0.006
- ΔE_f (raw) (meV per atom) = -414
- symmetry = F-43m (216)

---

# 4
ScSb2TePd | PBE | optimized geometry

Lattice parameters (Å, degrees): 5.425 5.425 5.392 90.00 90.00 90.00
Fractional positions:
Sc 0.000 0.000 0.000
Sb 0.000 0.500 0.000
Sb 0.500 0.000 0.000
Te 0.000 0.000 0.500
Pd 0.500 0.500 0.500

Summary:
- magnetic moment (μB/f.u.) = 0.000
- ΔE_f (raw) (meV per atom) = 367
- symmetry = P4/mmm (123)

---

# 5
ScSbTe2Pd | PBE | optimized geometry

Lattice parameters (Å, degrees): 5.349 5.349 5.081 90.00 90.00 90.00
Fractional positions:
Sc 0.000 0.000 0.000
Sb 0.500 0.500 0.000
Te 0.000 0.500 0.500
Te 0.500 0.000 0.500
Pd 0.500 0.500 0.500

Summary:
- magnetic moment (μB/f.u.) = 0.000
- ΔE_f (raw) (meV per atom) = 50
- symmetry = P4/mmm (123)

---

# 6
ScSbTe2Pd | PBE | optimized geometry

Lattice parameters (Å, degrees): 5.439 5.439 5.470 90.00 90.00 90.00
Fractional positions:
Sc 0.000 0.000 0.000
Sb 0.000 0.000 0.500
Te 0.000 0.500 0.000
Te 0.500 0.000 0.000
Pd 0.500 0.500 0.500

Summary:
- magnetic moment (μB/f.u.) = 0.000
- ΔE_f (raw) (meV per atom) = 267
- symmetry = P4/mmm (123)

---

> ΔE_f (raw) of number 3 (ScTcSbPd)?

-414 meV per atom

---

> Number 1 is which compound?

Sc2SbPdSe